First-principles (SCAN) data for a crystal of CaCoSi2O6 relaxed with PBEsol, as listed in Alexandria via LeMat-Bulk.

## Properties
theoretical density	3.83	Mg/m³
formation energy (no corrections)	-27.97	eV per formula unit
uncorrected energy	-224.72	eV for the cell shown

Cell and atoms, written as extended XYZ:
```
20
Lattice="4.9311 -4.4160 0.0000 4.9311 4.4160 0.0000 -1.3662 0.0000 5.0042" Properties=species:S:1:pos:R:3 pbc="T T T"
Ca 3.9064 2.6537 3.7532
Ca 4.5895 -2.6537 1.2511
Co 4.5895 0.7346 1.2511
Co 3.9064 -0.7346 3.7532
Si 1.0347 0.8492 3.8719
Si 1.7178 -0.8492 1.3698
Si 6.7782 0.8492 3.6344
Si 7.4613 -0.8492 1.1323
O 3.1331 2.1663 1.6205
O 1.4396 0.1894 0.0650
O 0.7565 -0.1894 2.5671
O 2.6002 0.8082 4.2852
O 6.0460 2.1663 0.8816
O 3.2833 -0.8082 1.7831
O 5.2126 0.8082 3.2211
O 2.4500 -2.1663 4.1226
O 5.8957 -0.8082 0.7190
O 7.7394 0.1894 2.4371
O 7.0563 -0.1894 4.9392
O 5.3629 -2.1663 3.3837
```